Entry 1:
Below is a geometry-optimized RbErScSe3 structure, with properties calculated at the GGA-PBE level.

a b c (Å): 9.256 4.342 10.305
angles (deg): 90.00 109.42 90.00
Element x y z (fractional)
1 Rb 0.214 0.250 0.231
2 Rb 0.786 0.750 0.769
3 Er 0.337 0.750 0.868
4 Er 0.663 0.250 0.132
5 Sc 0.088 0.250 0.610
6 Sc 0.912 0.750 0.390
7 Se 0.123 0.250 0.869
8 Se 0.211 0.750 0.554
9 Se 0.470 0.750 0.154
10 Se 0.530 0.250 0.846
11 Se 0.789 0.250 0.446
12 Se 0.877 0.750 0.131

For the size of the total moment, the calculation gives 0.00 μB/f.u. The calculation puts the total energy at -0.388 Ry per atom.


Entry 2:
Below is a geometry-optimized RbZnSnAs2 structure, with properties calculated at the GGA-PBE level.

a b c (Å): 8.420 8.420 10.864
angles (deg): 123.70 123.70 29.20
Element x y z (fractional)
1 Rb 0.179 0.179 0.119
2 Rb 0.821 0.821 0.881
3 Zn 0.050 0.050 0.663
4 Zn 0.950 0.950 0.337
5 Sn 0.373 0.373 0.614
6 Sn 0.627 0.627 0.386
7 As 0.161 0.161 0.568
8 As 0.426 0.426 0.197
9 As 0.574 0.574 0.803
10 As 0.839 0.839 0.432

For the size of the total moment, the calculation gives 0.00 μB/f.u. For the energy relative to the elements, the calculation gives -242 meV per atom.


Entry 3:
Below is a geometry-optimized Er2CuPd structure, with properties calculated at the GGA-PBE level.

a b c (Å): 4.902 4.902 4.902
angles (deg): 120.19 120.19 89.67
Element x y z (fractional)
1 Er 0.250 0.750 0.500
2 Er 0.750 0.250 0.500
3 Cu 0.000 0.000 0.000
4 Pd 0.500 0.500 0.000

For the size of the total moment, the calculation gives 0.00 μB/f.u. For the energy relative to the elements, the calculation gives -601 meV per atom.


Entry 4:
Below is a geometry-optimized BeFeCu structure, with properties calculated at the GGA-PBE level.

a b c (Å): 3.657 3.657 3.657
angles (deg): 60.00 60.00 60.00
Element x y z (fractional)
1 Be 0.000 0.000 0.000
2 Fe 0.750 0.750 0.750
3 Cu 0.250 0.250 0.250

For the size of the total moment, the calculation gives 1.96 μB/f.u. For the energy relative to the elements, the calculation gives 364 meV per atom.